{"formula": "CrSbW", "functional": "PBE", "state": "optimized geometry", "de_polymorph_mev_per_atom": 152, "sg": "P3m1, No. 156", "e_form_raw_ev_per_atom": 0.53, "lattice": [[3.1001, 0.0000, 0.0000], [-1.5500, 2.6848, 0.0000], [0.0000, 0.0000, 6.3622]], "species": ["Cr", "Sb", "W"], "frac_coords": [[0.0000, 0.0000, 0.0000], [0.3333, 0.6667, 0.3547], [0.6667, 0.3333, 0.7407]]}



{"formula": "Cr2SbW", "functional": "PBE", "state": "optimized geometry", "sg": "F-43m, No. 216", "e_form_raw_ev_per_atom": 0.47, "lattice": [[0.0000, 3.1590, 3.1590], [3.1590, 0.0000, 3.1590], [3.1590, 3.1590, 0.0000]], "species": ["Cr", "Cr", "Sb", "W"], "frac_coords": [[0.0000, 0.0000, 0.0000], [0.2500, 0.2500, 0.2500], [0.7500, 0.7500, 0.7500], [0.5000, 0.5000, 0.5000]]}



{"formula": "CrSbW2", "functional": "PBE", "state": "optimized geometry", "sg": "Pmmm, No. 47", "e_form_raw_ev_per_atom": 0.57, "lattice": [[2.9558, 0.0000, 0.0000], [0.0000, 4.1451, 0.0000], [0.0000, 0.0000, 5.3517]], "species": ["Cr", "Sb", "W", "W"], "frac_coords": [[0.0000, 0.0000, 0.0000], [0.0000, 0.0000, 0.5000], [0.5000, 0.5000, 0.2341], [0.5000, 0.5000, 0.7659]]}



{"formula": "CrSbW", "functional": "PBE", "state": "optimized geometry", "de_polymorph_mev_per_atom": 238, "sg": "P3m1, No. 156", "e_form_raw_ev_per_atom": 0.62, "lattice": [[4.3821, 0.0000, 0.0000], [-2.1911, 3.7950, 0.0000], [0.0000, 0.0000, 2.9649]], "species": ["Cr", "Sb", "W"], "frac_coords": [[0.0000, 0.0000, 0.0000], [0.6667, 0.3333, 0.1449], [0.3333, 0.6667, 0.6517]]}



Which formula does entry 4 have?
CrSbW



What is the formula in the third record?
CrSbW2



What did the third record say?
{"formula": "CrSbW2", "functional": "PBE", "state": "optimized geometry", "sg": "Pmmm, No. 47", "e_form_raw_ev_per_atom": 0.57, "lattice": [[2.9558, 0.0000, 0.0000], [0.0000, 4.1451, 0.0000], [0.0000, 0.0000, 5.3517]], "species": ["Cr", "Sb", "W", "W"], "frac_coords": [[0.0000, 0.0000, 0.0000], [0.0000, 0.0000, 0.5000], [0.5000, 0.5000, 0.2341], [0.5000, 0.5000, 0.7659]]}